[1]
Below is an optimized crystal structure of Ga2Mo3O8, with properties calculated at the GGA+U level.

Cell: 5.447 6.405 5.956 Å, 57.47 71.76 90.00°
Last column: magnetic moment on the atom in μB.
Sites, in units of the cell vectors:
O (0.754, 0.141, 0.228)  -0.01
O (0.742, 0.121, 0.757)  0.02
Ga (0.876, 0.328, 0.345)  0.05
Mo (0.500, 0.738, 0.000)  2.44
O (0.246, 0.859, 0.772)  -0.01
O (0.258, 0.879, 0.243)  0.02
O (0.754, 0.631, 0.228)  -0.01
O (0.750, 0.620, 0.759)  0.01
Ga (0.124, 0.672, 0.655)  0.05
Mo (0.000, 0.000, 0.000)  2.69
O (0.246, 0.369, 0.772)  -0.01
O (0.250, 0.380, 0.241)  0.01
Mo (0.500, 0.262, 0.000)  2.44

Output
Electronic total energy = -88.43 eV per formula unit

---

[2]
Below is an optimized crystal structure of GaMoO4, with properties calculated at the GGA+U level.

Cell: 5.446 5.446 5.791 Å, 118.05 118.05 90.00°
Last column: magnetic moment on the atom in μB.
Sites, in units of the cell vectors:
Ga (0.750, 0.250, 0.500)  0.04
O (0.125, 0.251, 0.739)  0.01
O (0.749, 0.386, 0.261)  0.01
O (0.614, 0.488, 0.739)  0.01
Mo (0.500, 0.500, 0.000)  0.91
O (0.512, 0.875, 0.261)  0.01

Output
Electronic total energy = -39.41 eV per formula unit

---

[3]
Below is an optimized crystal structure of Ga2MoO6, with properties calculated at the GGA+U level.

Cell: 4.649 4.649 9.006 Å, 90.00 90.00 90.00°
Sites, in units of the cell vectors:
Mo (0.000, 0.000, 0.500)
O (0.300, 0.300, 0.500)
O (0.195, 0.805, 0.661)
Ga (0.000, 0.000, 0.163)
O (0.700, 0.700, 0.500)
O (0.695, 0.695, 0.161)
O (0.805, 0.195, 0.339)
O (0.200, 0.800, 0.000)
O (0.305, 0.305, 0.839)
O (0.800, 0.200, 0.000)
O (0.805, 0.195, 0.661)
O (0.305, 0.305, 0.161)
Mo (0.500, 0.500, 0.000)
Ga (0.000, 0.000, 0.837)
Ga (0.500, 0.500, 0.663)
O (0.695, 0.695, 0.839)
Ga (0.500, 0.500, 0.337)
O (0.195, 0.805, 0.339)

Output
Electronic total energy = -57.69 eV per formula unit

---

[4]
Below is an optimized crystal structure of Ga2Mo2O, with properties calculated at the GGA+U level.

Cell: 3.581 3.581 7.313 Å, 75.83 75.83 90.00°
Last column: magnetic moment on the atom in μB.
Sites, in units of the cell vectors:
Mo (0.250, 0.750, 0.500)  0.55
Mo (0.750, 0.250, 0.500)  0.55
Ga (0.587, 0.587, 0.826)  0.04
Ga (0.413, 0.413, 0.174)  0.04
O (0.000, 0.000, 0.000)  0.46

Output
ΔE to the lowest computed polymorph = 0.516 eV/atom
Electronic total energy = -19.71 eV per formula unit

---

[5]
Below is an optimized crystal structure of GaMoO3, with properties calculated at the GGA+U level.

Cell: 3.788 3.788 3.788 Å, 90.00 90.00 90.00°
Last column: magnetic moment on the atom in μB.
Sites, in units of the cell vectors:
O (0.500, 0.000, 0.000)  -0.13
Ga (0.000, 0.000, 0.000)  0.01
O (0.000, 0.000, 0.500)  -0.11
Mo (0.500, 0.500, 0.500)  3.21
O (0.000, 0.500, 0.000)  -0.16

Output
Electronic total energy = -29.22 eV per formula unit

---

[6]
Below is an optimized crystal structure of GaMoO3, with properties calculated at the GGA+U level.

Cell: 5.840 7.201 7.201 Å, 80.50 72.29 72.29°
Last column: magnetic moment on the atom in μB.
Sites, in units of the cell vectors:
O (0.852, 0.858, 0.359)  0.04
O (0.336, 0.020, 0.196)  0.01
O (0.160, 0.711, 0.587)  0.01
O (0.148, 0.142, 0.641)  0.04
Ga (0.188, 0.214, 0.377)  0.03
O (0.836, 0.196, 0.020)  0.01
O (0.664, 0.980, 0.804)  0.01
Ga (0.312, 0.623, 0.786)  0.03
Mo (0.250, 0.731, 0.269)  2.75
O (0.660, 0.587, 0.711)  0.01
Mo (0.750, 0.269, 0.731)  2.75
Ga (0.812, 0.786, 0.623)  0.03
Mo (0.750, 0.904, 0.096)  2.75
O (0.840, 0.289, 0.413)  0.01
Ga (0.688, 0.377, 0.214)  0.03
O (0.352, 0.359, 0.858)  0.04
Mo (0.250, 0.096, 0.904)  2.75
O (0.340, 0.413, 0.289)  0.01
O (0.648, 0.641, 0.142)  0.04
O (0.164, 0.804, 0.980)  0.01

Output
Electronic total energy = -33.45 eV per formula unit

---

[7]
Below is an optimized crystal structure of GaMoO4, with properties calculated at the GGA+U level.

Cell: 5.575 5.575 5.575 Å, 108.24 108.24 111.97°
Last column: magnetic moment on the atom in μB.
Sites, in units of the cell vectors:
O (0.707, 0.506, 0.201)  -0.03
O (0.749, 0.444, 0.694)  -0.01
O (0.194, 0.999, 0.194)  -0.01
Ga (0.752, 0.752, 0.000)  0.04
O (0.805, 0.999, 0.806)  -0.01
O (0.256, 0.957, 0.701)  -0.03
O (0.256, 0.555, 0.299)  -0.03
O (0.305, 0.506, 0.799)  -0.03
Mo (0.237, 0.237, 0.000)  1.03
O (0.749, 0.055, 0.306)  -0.01
Mo (0.987, 0.487, 0.500)  1.03
Ga (0.502, 0.002, 0.500)  0.04

Output
Electronic total energy = -40.14 eV per formula unit

---

[8]
Below is an optimized crystal structure of Ga2Mo2O, with properties calculated at the GGA+U level.

Cell: 6.092 6.092 4.486 Å, 90.00 90.00 90.00°
Last column: magnetic moment on the atom in μB.
Sites, in units of the cell vectors:
Mo (0.834, 0.334, 0.500)  3.05
Mo (0.166, 0.666, 0.500)  3.05
O (0.000, 0.000, 0.000)  0.26
Ga (0.845, 0.655, 0.000)  -0.12
O (0.500, 0.500, 0.000)  0.26
Mo (0.666, 0.834, 0.500)  3.07
Ga (0.655, 0.155, 0.000)  -0.11
Ga (0.345, 0.845, 0.000)  -0.11
Ga (0.155, 0.345, 0.000)  -0.12
Mo (0.334, 0.166, 0.500)  3.07

Output
ΔE to the lowest computed polymorph = 0.000 eV/atom
Electronic total energy = -22.30 eV per formula unit

---

[9]
Below is an optimized crystal structure of GaMo3O, with properties calculated at the GGA+U level.

Cell: 4.159 4.159 4.159 Å, 90.00 90.00 90.00°
Sites, in units of the cell vectors:
Mo (0.000, 0.000, 0.500)
Ga (0.500, 0.500, 0.500)
O (0.000, 0.000, 0.000)
Mo (0.000, 0.500, 0.000)
Mo (0.500, 0.000, 0.000)

Output
ΔE to the lowest computed polymorph = 0.000 eV/atom
Electronic total energy = -26.59 eV per formula unit

---

[10]
Below is an optimized crystal structure of GaMoO3, with properties calculated at the GGA+U level.

Cell: 3.964 3.964 3.964 Å, 90.00 90.00 90.00°
Last column: magnetic moment on the atom in μB.
Sites, in units of the cell vectors:
O (0.000, 0.000, 0.500)  -0.03
O (0.500, 0.000, 0.000)  -0.15
Mo (0.000, 0.000, 0.000)  1.25
Ga (0.500, 0.500, 0.500)  -0.04
O (0.000, 0.500, 0.000)  -0.05

Output
Electronic total energy = -31.13 eV per formula unit

---

[11]
Below is an optimized crystal structure of GaMoPO2, with properties calculated at the GGA+U level.

Cell: 3.754 3.754 5.209 Å, 90.00 90.00 90.00°
Last column: magnetic moment on the atom in μB.
Sites, in units of the cell vectors:
Mo (0.500, 0.500, 0.500)  2.97
Ga (0.000, 0.000, 0.000)  -0.01
P (0.000, 0.000, 0.500)  -0.31
O (0.000, 0.500, 0.000)  -0.28
O (0.500, 0.000, 0.000)  -0.28

Output
ΔE to the lowest computed polymorph = 0.557 eV/atom
Electronic total energy = -26.32 eV per formula unit

---

[12]
Below is an optimized crystal structure of GaMoPO2, with properties calculated at the GGA+U level.

Cell: 3.858 5.299 3.858 Å, 90.00 90.00 90.00°
Last column: magnetic moment on the atom in μB.
Sites, in units of the cell vectors:
P (0.000, 0.500, 0.000)  -0.02
O (0.000, 0.000, 0.500)  -0.03
O (0.500, 0.000, 0.000)  -0.14
Ga (0.500, 0.500, 0.500)  0.02
Mo (0.000, 0.000, 0.000)  1.35

Output
ΔE to the lowest computed polymorph = 0.000 eV/atom
Electronic total energy = -29.10 eV per formula unit